[1]
First-principles (PBE) data for a relaxed Hf6Pd3Rh crystal, as listed in the Alexandria database.

Cell lengths 7.9370, 10.7387, 4.6503 Å; angles 90.00, 90.00, 90.00 degrees
Closest atoms and distances in Å follow each position.
Space group Pnnm (No. 58)
Symmetry-distinct sites (fractional):
Hf: 0.0048 0.2479 0.0000 x4  1 Rh 2.66, 4 Pd 2.71-2.74
Hf: 0.1578 0.0916 0.5000 x4  2 Rh 2.82, 3 Pd 2.89-2.95, 2 Hf 3.11
Hf: 0.1798 0.4072 0.5000 x4  1 Rh 2.73, 3 Pd 2.90-2.91
Pd: 0.0000 0.5000 0.0000 x2  8 Hf 2.71-2.90
Pd: 0.1601 0.6948 0.5000 x4  6 Hf 2.72-2.95
Rh: 0.0000 0.0000 0.0000 x2  8 Hf 2.66-2.82

[2]
First-principles (PBE) data for a relaxed HfPd2Rh crystal, as listed in the Alexandria database.

Cell lengths 6.3927, 6.3927, 6.3927 Å; angles 90.00, 90.00, 90.00 degrees
Closest atoms and distances in Å follow each position.
Space group Fm-3m (No. 225)
Symmetry-distinct sites (fractional):
Hf: 0.0000 0.0000 0.0000 x4  8 Pd 2.77
Pd: 0.2500 0.2500 0.2500 x8  4 Hf 2.77, 4 Rh 2.77
Rh: 0.0000 0.0000 0.5000 x4  8 Pd 2.77

[3]
First-principles (PBE) data for a relaxed HfPd3Rh crystal, as listed in the Alexandria database.

Cell lengths 4.7350, 4.7350, 4.7350 Å; angles 90.00, 90.00, 90.00 degrees
Closest atoms and distances in Å follow each position.
Space group Pm-3m (No. 221)
Symmetry-distinct sites (fractional):
Hf: 0.0000 0.0000 0.0000 x1  12 Pd 3.35
Pd: 0.0000 0.5000 0.5000 x3  2 Rh 2.37
Rh: 0.5000 0.5000 0.5000 x1  6 Pd 2.37

no.,formation energy (eV per atom),N(E_F) (states/eV per cell)
1,-0.403,18.65
2,-0.521,12.38
3,0.928,7.26